# 1
This record from Alexandria describes crystalline InTeAuSe at its relaxed geometry. The functional is PBE-GGA.

```
InTeAuSe
1.0
-1.291 4.047 1.345
-2.261 2.654 -2.775
-6.263 -2.805 2.423
In Te Au Se
1 1 1 1
Direct
0.239 0.239 0.177 In
0.906 0.906 0.623 Te
0.239 0.239 0.550 Au
0.573 0.573 0.034 Se
```

Results
E = -0.122 hartree per atom
SG = P3m1, No. 156
Formation energy (no corrections) = -0.16 eV/atom
Crystal system = trigonal

# 2
This record from Alexandria describes crystalline Fe2ICl at its relaxed geometry. The functional is PBE-GGA.

```
Fe2ICl
1.0
0.000 3.311 3.311
3.311 0.000 3.311
3.311 3.311 0.000
I Fe Cl
1 2 1
Direct
0.500 0.500 0.500 I
0.250 0.250 0.250 Fe
0.750 0.750 0.750 Fe
0.000 0.000 0.000 Cl
```

Results
E = -0.164 hartree per atom
SG = Fm-3m, No. 225
Relative energy among the computed polymorphs = 0.022 eV/atom
Formation energy (no corrections) = 0.63 eV/atom
Crystal system = cubic

# 3
This record from Alexandria describes crystalline BaCdSCl2 at its relaxed geometry. The functional is PBE-GGA.

```
BaCdSCl2
1.0
5.222 0.000 0.000
0.000 5.222 0.000
0.000 0.000 5.145
S Cl Ba Cd
1 2 1 1
Direct
0.000 0.000 0.500 S
0.000 0.500 0.000 Cl
0.500 0.000 0.000 Cl
0.500 0.500 0.500 Ba
0.000 0.000 0.000 Cd
```

Results
E = -0.131 hartree per atom
SG = P4/mmm, No. 123
Relative energy among the computed polymorphs = 0.000 eV/atom
Formation energy (no corrections) = -1.44 eV/atom
Crystal system = tetragonal

# 4
This record from Alexandria describes crystalline Mg2GaPd4 at its relaxed geometry. The functional is PBE-GGA.

```
Mg2GaPd4
1.0
4.586 0.000 0.000
0.000 4.586 0.000
2.293 2.293 6.654
Mg Ga Pd
2 1 4
Direct
0.376 0.376 0.248 Mg
0.624 0.624 0.752 Mg
0.000 0.000 0.000 Ga
0.182 0.182 0.637 Pd
0.818 0.818 0.363 Pd
0.000 0.500 0.000 Pd
0.500 0.000 0.000 Pd
```

Results
DFT formation energy = -85 kJ/mol of formula units
E = -0.146 hartree per atom
SG = I4/mmm, No. 139
Relative energy among the computed polymorphs = 0.423 eV/atom
Crystal system = tetragonal

# 5
This record from Alexandria describes crystalline La5Sm4Ho2 at its relaxed geometry. The functional is PBE-GGA.

```
La5Sm4Ho2
1.0
-3.139 1.587 0.738
-5.703 -8.576 -5.811
1.254 -5.100 7.553
La Sm Ho
5 4 2
Direct
0.904 0.463 0.809 La
0.096 0.537 0.191 La
0.822 0.924 0.644 La
0.500 0.000 0.000 La
0.178 0.076 0.356 La
0.359 0.202 0.717 Sm
0.962 0.736 0.924 Sm
0.641 0.798 0.283 Sm
0.038 0.264 0.076 Sm
0.716 0.357 0.432 Ho
0.284 0.643 0.568 Ho
```

Results
DFT formation energy = 80 kJ/mol of formula units
E = -0.173 hartree per atom
SG = C2/m, No. 12
Crystal system = monoclinic

# 6
This record from Alexandria describes crystalline Zn2BiTeI at its relaxed geometry. The functional is PBE-GGA.

```
Zn2BiTeI
1.0
-3.166 0.410 -4.201
-3.142 -5.001 1.880
-3.265 3.090 2.762
I Zn Te Bi
1 2 1 1
Direct
0.000 0.000 0.000 I
0.000 0.000 0.500 Zn
0.500 0.000 0.000 Zn
0.000 0.500 0.000 Te
0.500 0.500 0.500 Bi
```

Results
E = -0.057 hartree per atom
SG = P4/mmm, No. 123
Formation energy (no corrections) = 0.69 eV/atom
Crystal system = tetragonal

# 7
This record from Alexandria describes crystalline ScHgPbAu2 at its relaxed geometry. The functional is PBE-GGA.

```
ScHgPbAu2
1.0
5.152 0.000 0.000
0.000 5.457 0.000
0.000 0.000 5.152
Pb Sc Au Hg
1 1 2 1
Direct
0.500 0.500 0.500 Pb
0.000 0.000 0.000 Sc
0.000 0.000 0.500 Au
0.500 0.000 0.000 Au
0.000 0.500 0.000 Hg
```

Results
DFT formation energy = 131 kJ/mol of formula units
E = -0.114 hartree per atom
SG = P4/mmm, No. 123
Crystal system = tetragonal

# 8
This record from Alexandria describes crystalline Nd4Al2Ga at its relaxed geometry. The functional is PBE-GGA.

```
Nd4Al2Ga
1.0
4.981 0.000 1.556
2.247 4.445 1.556
-0.082 -0.050 9.011
Nd Al Ga
4 2 1
Direct
0.873 0.873 0.381 Nd
0.127 0.127 0.619 Nd
0.621 0.621 0.136 Nd
0.379 0.379 0.864 Nd
0.749 0.749 0.753 Al
0.251 0.251 0.247 Al
0.000 0.000 0.000 Ga
```

Results
DFT formation energy = -183 kJ/mol of formula units
E = -0.165 hartree per atom
SG = R-3m, No. 166
Crystal system = trigonal